A crystal of BaSrCd2 relaxed with PBEsol, computed with SCAN.

Summary:
As for the final energy: -31.048 eV per atom. The total moment comes out at 0.000 μB per formula unit. As for the formation enthalpy at 0 K: -0.384 eV per atom.

Cell and atoms, written as CIF:
```
data_BaSrCd2
_chemical_formula_sum 'Ba1 Sr1 Cd2'
_symmetry_space_group_name_H-M 'P 4/m m m'
_symmetry_Int_Tables_number 123
_symmetry_space_group_name_Hall '-P 4 2'
_cell_length_a 4.060
_cell_length_b 4.060
_cell_length_c 8.125
_cell_angle_alpha 90.00
_cell_angle_beta 90.00
_cell_angle_gamma 90.00
loop_
_atom_site_label
_atom_site_type_symbol
_atom_site_fract_x
_atom_site_fract_y
_atom_site_fract_z
_atom_site_occupancy
Ba1 Ba 0.000 0.000 0.000 1
Sr1 Sr 0.000 0.000 0.500 1
Cd1 Cd 0.500 0.500 0.267 1
```



A crystal of LiCaSe2 relaxed with PBEsol, computed with SCAN.

Summary:
As for the final energy: -14.406 eV per atom. The total moment comes out at 0.000 μB per formula unit. The calculation puts the energy relative to the elements, uncorrected at -1.353 eV/atom.

Cell and atoms, written as CIF:
```
data_LiCaSe2
_chemical_formula_sum 'Li2 Ca2 Se4'
_symmetry_space_group_name_H-M 'C m m m'
_symmetry_Int_Tables_number 65
_symmetry_space_group_name_Hall '-C 2 2'
_cell_length_a 6.236
_cell_length_b 7.239
_cell_length_c 3.674
_cell_angle_alpha 90.00
_cell_angle_beta 90.00
_cell_angle_gamma 90.00
loop_
_atom_site_label
_atom_site_type_symbol
_atom_site_fract_x
_atom_site_fract_y
_atom_site_fract_z
_atom_site_occupancy
Li1 Li 0.000 0.000 0.000 1
Ca1 Ca 0.000 0.500 0.000 1
Se1 Se 0.250 0.250 0.500 1
```



A crystal of CoNiRh2 relaxed with PBEsol, computed with SCAN.

Summary:
As for the final energy: -25.200 eV per atom. The total moment comes out at 4.384 μB per formula unit. Its energy above the lowest structure with this stoichiometry is 0.19 eV/f.u. As for the formation enthalpy at 0 K: 0.055 eV per atom.

Cell and atoms, written as CIF:
```
data_CoNiRh2
_chemical_formula_sum 'Co2 Ni2 Rh4'
_symmetry_space_group_name_H-M 'C 1 m 1'
_symmetry_Int_Tables_number 8
_cell_length_a 8.573
_cell_length_b 2.607
_cell_length_c 4.400
_cell_angle_alpha 90.00
_cell_angle_beta 100.87
_cell_angle_gamma 90.00
loop_
_symmetry_equiv_pos_as_xyz
'x,y,z'
'x,-y,z'
'x+1/2,y+1/2,z'
'x+1/2,-y+1/2,z'
loop_
_atom_site_label
_atom_site_type_symbol
_atom_site_fract_x
_atom_site_fract_y
_atom_site_fract_z
_atom_site_occupancy
Co1 Co 0.000 0.000 0.000 1
Ni1 Ni 0.245 0.500 0.242 1
Rh1 Rh 0.251 0.000 0.753 1
Rh2 Rh 0.497 0.000 0.491 1
```



A crystal of ReNiTe2 relaxed with PBEsol, computed with SCAN.

Summary:
As for the final energy: -40.333 eV per atom. The total moment comes out at 0.291 μB per formula unit. The calculation puts the energy relative to the elements, uncorrected at 0.110 eV/atom. Its energy above the lowest structure with this stoichiometry is 0.00 eV/f.u.

Cell and atoms, written as CIF:
```
data_ReNiTe2
_chemical_formula_sum 'Re1 Ni1 Te2'
_symmetry_space_group_name_H-M 'P -4 m 2'
_symmetry_Int_Tables_number 115
_cell_length_a 3.780
_cell_length_b 3.780
_cell_length_c 6.155
_cell_angle_alpha 90.00
_cell_angle_beta 90.00
_cell_angle_gamma 90.00
loop_
_symmetry_equiv_pos_as_xyz
'x,y,z'
'y,-x,-z'
'-x,-y,z'
'-y,x,-z'
'-x,y,z'
'-y,-x,-z'
'x,-y,z'
'y,x,-z'
loop_
_atom_site_label
_atom_site_type_symbol
_atom_site_fract_x
_atom_site_fract_y
_atom_site_fract_z
_atom_site_occupancy
Re1 Re 0.000 0.000 0.000 1
Ni1 Ni 0.500 0.500 0.000 1
Te1 Te 0.000 0.500 0.287 1
```



A crystal of Ni6Pt5 relaxed with PBEsol, computed with SCAN.

Summary:
As for the final energy: -40.867 eV per atom. The total moment comes out at 7.077 μB per formula unit. As for the formation enthalpy at 0 K: -0.139 eV per atom.

Cell and atoms, written as CIF:
```
data_Ni6Pt5
_chemical_formula_sum 'Ni6 Pt5'
_symmetry_space_group_name_H-M 'P 1'
_symmetry_Int_Tables_number 1
_cell_length_a 4.507
_cell_length_b 5.867
_cell_length_c 5.884
_cell_angle_alpha 107.60
_cell_angle_beta 104.96
_cell_angle_gamma 97.78
loop_
_symmetry_equiv_pos_as_xyz
'x,y,z'
loop_
_atom_site_label
_atom_site_type_symbol
_atom_site_fract_x
_atom_site_fract_y
_atom_site_fract_z
_atom_site_occupancy
Ni1 Ni 0.000 0.000 0.000 1
Ni2 Ni 0.086 0.814 0.361 1
Ni3 Ni 0.179 0.635 0.719 1
Ni4 Ni 0.272 0.451 0.091 1
Ni5 Ni 0.360 0.272 0.447 1
Ni6 Ni 0.629 0.720 0.538 1
Pt1 Pt 0.449 0.074 0.808 1
Pt2 Pt 0.526 0.898 0.182 1
Pt3 Pt 0.728 0.553 0.900 1
Pt4 Pt 0.825 0.372 0.275 1
Pt5 Pt 0.916 0.180 0.635 1
```



A crystal of ZrAg3 relaxed with PBEsol, computed with SCAN.

Summary:
As for the final energy: -31.269 eV per atom. The total moment comes out at 0.000 μB per formula unit. As for the formation enthalpy at 0 K: -0.069 eV per atom.

Cell and atoms, written as CIF:
```
data_ZrAg3
_chemical_formula_sum 'Zr2 Ag6'
_symmetry_space_group_name_H-M 'P m m n'
_symmetry_Int_Tables_number 59
_cell_length_a 4.790
_cell_length_b 6.018
_cell_length_c 4.896
_cell_angle_alpha 90.00
_cell_angle_beta 90.00
_cell_angle_gamma 90.00
loop_
_symmetry_equiv_pos_as_xyz
'x,y,z'
'-x,-y,-z'
'-x+1/2,-y+1/2,z'
'x+1/2,y+1/2,-z'
'x+1/2,-y,-z'
'-x+1/2,y,z'
'-x,y+1/2,-z'
'x,-y+1/2,z'
loop_
_atom_site_label
_atom_site_type_symbol
_atom_site_fract_x
_atom_site_fract_y
_atom_site_fract_z
_atom_site_occupancy
Zr1 Zr 0.250 0.250 0.162 1
Ag1 Ag 0.250 0.504 0.667 1
Ag2 Ag 0.250 0.750 0.174 1
```



A crystal of KRbF2 relaxed with PBEsol, computed with SCAN.

Summary:
As for the final energy: -11.787 eV per atom. The total moment comes out at 0.151 μB per formula unit. The calculation puts the energy relative to the elements, uncorrected at -2.750 eV/atom.

Cell and atoms, written as CIF:
```
data_KRbF2
_chemical_formula_sum 'K4 Rb4 F8'
_symmetry_space_group_name_H-M 'I -4 2 d'
_symmetry_Int_Tables_number 122
_symmetry_space_group_name_Hall 'I -4 2bw'
_cell_length_a 6.067
_cell_length_b 6.067
_cell_length_c 11.661
_cell_angle_alpha 90.00
_cell_angle_beta 90.00
_cell_angle_gamma 90.00
loop_
_atom_site_label
_atom_site_type_symbol
_atom_site_fract_x
_atom_site_fract_y
_atom_site_fract_z
_atom_site_occupancy
K1 K 0.000 0.000 0.000 1
Rb1 Rb 0.000 0.000 0.500 1
F1 F 0.233 0.250 0.125 1
```



A crystal of GaRh3Se relaxed with PBEsol, computed with SCAN.

Summary:
As for the final energy: -26.679 eV per atom. The total moment comes out at 2.282 μB per formula unit. The calculation puts the energy relative to the elements, uncorrected at 0.869 eV/atom.

Cell and atoms, written as CIF:
```
data_GaRh3Se
_chemical_formula_sum 'Ga1 Rh3 Se1'
_symmetry_space_group_name_H-M 'P m -3 m'
_symmetry_Int_Tables_number 221
_symmetry_space_group_name_Hall '-P 4 2 3'
_cell_length_a 4.485
_cell_length_b 4.485
_cell_length_c 4.485
_cell_angle_alpha 90.00
_cell_angle_beta 90.00
_cell_angle_gamma 90.00
loop_
_atom_site_label
_atom_site_type_symbol
_atom_site_fract_x
_atom_site_fract_y
_atom_site_fract_z
_atom_site_occupancy
Ga1 Ga 0.000 0.000 0.000 1
Rh1 Rh 0.000 0.000 0.500 1
Se1 Se 0.500 0.500 0.500 1
```



A crystal of SrPbAu2 relaxed with PBEsol, computed with SCAN.

Summary:
As for the final energy: -59.614 eV per atom. The total moment comes out at 0.000 μB per formula unit. As for the formation enthalpy at 0 K: -0.522 eV per atom.

Cell and atoms, written as CIF:
```
data_SrPbAu2
_chemical_formula_sum 'Sr1 Pb1 Au2'
_symmetry_space_group_name_H-M 'P 4/m m m'
_symmetry_Int_Tables_number 123
_symmetry_space_group_name_Hall '-P 4 2'
_cell_length_a 3.734
_cell_length_b 3.734
_cell_length_c 6.965
_cell_angle_alpha 90.00
_cell_angle_beta 90.00
_cell_angle_gamma 90.00
loop_
_atom_site_label
_atom_site_type_symbol
_atom_site_fract_x
_atom_site_fract_y
_atom_site_fract_z
_atom_site_occupancy
Sr1 Sr 0.000 0.000 0.000 1
Pb1 Pb 0.000 0.000 0.500 1
Au1 Au 0.500 0.500 0.270 1
```



A crystal of Cd2SNO relaxed with PBEsol, computed with SCAN.

Summary:
As for the final energy: -16.664 eV per atom. The total moment comes out at 1.423 μB per formula unit. The calculation puts the energy relative to the elements, uncorrected at 0.532 eV/atom.

Cell and atoms, written as CIF:
```
data_Cd2SNO
_chemical_formula_sum 'Cd2 S1 N1 O1'
_symmetry_space_group_name_H-M 'P 4/m m m'
_symmetry_Int_Tables_number 123
_symmetry_space_group_name_Hall '-P 4 2'
_cell_length_a 4.532
_cell_length_b 4.532
_cell_length_c 3.714
_cell_angle_alpha 90.00
_cell_angle_beta 90.00
_cell_angle_gamma 90.00
loop_
_atom_site_label
_atom_site_type_symbol
_atom_site_fract_x
_atom_site_fract_y
_atom_site_fract_z
_atom_site_occupancy
Cd1 Cd 0.000 0.500 0.000 1
S1 S 0.000 0.000 0.500 1
N1 N 0.500 0.500 0.500 1
O1 O 0.500 0.500 0.000 1
```



A crystal of B3Rh7 relaxed with PBEsol, computed with SCAN.

Summary:
As for the final energy: -26.166 eV per atom. The total moment comes out at 0.001 μB per formula unit. As for the formation enthalpy at 0 K: -0.297 eV per atom.

Cell and atoms, written as CIF:
```
data_B3Rh7
_chemical_formula_sum 'B6 Rh14'
_symmetry_space_group_name_H-M 'P 63 m c'
_symmetry_Int_Tables_number 186
_symmetry_space_group_name_Hall 'P 6c -2c'
_cell_length_a 7.4044
_cell_length_b 7.4044
_cell_length_c 4.7838
_cell_angle_alpha 90.00
_cell_angle_beta 90.00
_cell_angle_gamma 120.00
loop_
_atom_site_label
_atom_site_type_symbol
_atom_site_fract_x
_atom_site_fract_y
_atom_site_fract_z
_atom_site_occupancy
B1 B 0.1892 0.3784 0.0000 1
Rh1 Rh 0.0873 0.5436 0.2539 1
Rh2 Rh 0.1228 0.2456 0.6032 1
Rh3 Rh 0.3333 0.6667 0.7573 1
```



A crystal of Sr2LaCd2 relaxed with PBEsol, computed with SCAN.

Summary:
As for the final energy: -29.971 eV per atom. The total moment comes out at 0.000 μB per formula unit. As for the formation enthalpy at 0 K: -0.274 eV per atom.

Cell and atoms, written as CIF:
```
data_Sr2LaCd2
_chemical_formula_sum 'Sr4 La2 Cd4'
_symmetry_space_group_name_H-M 'P 4/m b m'
_symmetry_Int_Tables_number 127
_symmetry_space_group_name_Hall '-P 4 2ab'
_cell_length_a 8.070
_cell_length_b 8.070
_cell_length_c 5.298
_cell_angle_alpha 90.00
_cell_angle_beta 90.00
_cell_angle_gamma 90.00
loop_
_atom_site_label
_atom_site_type_symbol
_atom_site_fract_x
_atom_site_fract_y
_atom_site_fract_z
_atom_site_occupancy
Sr1 Sr 0.173 0.327 0.000 1
La1 La 0.000 0.000 0.500 1
Cd1 Cd 0.124 0.624 0.500 1
```